Material: Zn2RhI
Method: DFT, PBE-GGA
State: relaxed

```
Zn2RhI
1.0
-3.1108 3.1108 5.8419
3.1108 -3.1108 5.8419
3.1108 3.1108 -5.8419
Zn Rh I
4 2 2
Direct
0.0603 0.6250 0.9353 Zn
0.3750 0.3103 0.4353 Zn
0.6897 0.1250 0.0647 Zn
0.8750 0.9397 0.5647 Zn
0.0000 0.0000 0.0000 Rh
0.7500 0.2500 0.5000 Rh
0.2500 0.7500 0.5000 I
0.5000 0.5000 0.0000 I
```

Calculated total energy (eV/atom): -2.54
Total moment (μB per formula unit): 0.0
Uncorrected formation energy (meV/atom): 318